TcMoP: relaxed, PBE.

Properties
Total moment (Bohr magnetons per cell): 0.00
Energy of formation from the pure elements (eV/atom): -0.3851
E above lowest polymorph (meV/atom): 0

a b c (Å): 6.115 6.115 3.906
angles (deg): 90.00 90.00 120.00
Atoms (fractional coordinates):
Tc (0.000, 0.256, 0.000)
Tc (0.256, 0.000, 0.000)
Tc (0.744, 0.744, 0.000)
Mo (0.000, 0.581, 0.500)
Mo (0.419, 0.419, 0.500)
Mo (0.581, 0.000, 0.500)
P (0.000, 0.000, 0.500)
P (0.333, 0.667, 0.000)
P (0.667, 0.333, 0.000)

=====

Pr2SnHg4Pb2: relaxed, PBE.

Properties
Total moment (Bohr magnetons per cell): 0.00
Energy of formation from the pure elements (eV/atom): -0.1783

a b c (Å): 7.414 7.414 7.414
angles (deg): 124.02 124.02 83.16
Atoms (fractional coordinates):
Pr (0.222, 0.222, 0.000)
Pr (0.778, 0.778, 0.000)
Sn (0.500, 0.500, 0.000)
Hg (0.218, 0.218, 0.436)
Hg (0.218, 0.782, 0.000)
Hg (0.782, 0.218, 0.000)
Hg (0.782, 0.782, 0.564)
Pb (0.250, 0.750, 0.500)
Pb (0.750, 0.250, 0.500)

=====

U2TiSi3Pt4: relaxed, PBE.

Properties
Total moment (Bohr magnetons per cell): 3.96
Raw formation energy (meV/atom): -763

a b c (Å): 4.107 4.107 10.529
angles (deg): 90.00 90.00 90.00
Atoms (fractional coordinates):
U (0.000, 0.500, 0.243)
U (0.500, 0.000, 0.757)
Ti (0.000, 0.000, 0.500)
Si (0.000, 0.500, 0.866)
Si (0.500, 0.000, 0.134)
Si (0.500, 0.500, 0.500)
Pt (0.000, 0.000, 0.000)
Pt (0.000, 0.500, 0.639)
Pt (0.500, 0.000, 0.361)
Pt (0.500, 0.500, 0.000)

=====

Pm6AgIr: relaxed, PBE.

Properties
Total moment (Bohr magnetons per cell): 0.00
Energy of formation from the pure elements (eV/atom): -0.1113

a b c (Å): 6.744 6.744 6.940
angles (deg): 100.58 100.58 116.21
Atoms (fractional coordinates):
Pm (0.039, 0.407, 0.241)
Pm (0.245, 0.245, 0.767)
Pm (0.407, 0.039, 0.241)
Pm (0.593, 0.961, 0.759)
Pm (0.755, 0.755, 0.233)
Pm (0.961, 0.593, 0.759)
Ag (0.500, 0.500, 0.500)
Ir (0.000, 0.000, 0.000)

=====

Pr2Nd3Tl: relaxed, PBE.

Properties
Total moment (Bohr magnetons per cell): 0.00
Energy of formation from the pure elements (eV/atom): -0.1069
E above lowest polymorph (meV/atom): 0

a b c (Å): 8.270 8.270 5.031
angles (deg): 90.00 90.00 144.78
Atoms (fractional coordinates):
Pr (0.163, 0.837, 0.000)
Pr (0.837, 0.163, 0.000)
Nd (0.000, 0.000, 0.500)
Nd (0.337, 0.663, 0.500)
Nd (0.663, 0.337, 0.500)
Tl (0.500, 0.500, 0.000)

=====

Ir2SN: relaxed, PBE.

Properties
Total moment (Bohr magnetons per cell): 0.00
Raw formation energy (meV/atom): 1173
E above lowest polymorph (meV/atom): 788

a b c (Å): 4.096 4.096 4.096
angles (deg): 60.00 60.00 60.00
Atoms (fractional coordinates):
Ir (0.250, 0.250, 0.250)
Ir (0.750, 0.750, 0.750)
S (0.000, 0.000, 0.000)
N (0.500, 0.500, 0.500)

=====

KIr2Pb: relaxed, PBE.

Properties
Total moment (Bohr magnetons per cell): 0.00
Energy of formation from the pure elements (eV/atom): 0.3387

a b c (Å): 2.954 4.024 8.406
angles (deg): 90.00 100.09 90.00
Atoms (fractional coordinates):
K (0.000, 0.000, 0.000)
Ir (0.346, 0.500, 0.697)
Ir (0.801, 0.000, 0.607)
Pb (0.676, 0.500, 0.358)

=====

Ba4H2O: relaxed, PBE.

Properties
Total moment (Bohr magnetons per cell): 0.00
Raw total energy (eV per atom): -3.52

a b c (Å): 7.898 7.898 7.898
angles (deg): 139.33 139.33 58.87
Atoms (fractional coordinates):
Ba (0.000, 0.500, 0.500)
Ba (0.217, 0.217, 0.000)
Ba (0.500, 0.000, 0.500)
Ba (0.783, 0.783, 0.000)
H (0.411, 0.411, 0.000)
H (0.589, 0.589, 0.000)
O (0.000, 0.000, 0.000)

=====

Pr3Sm2Y4: relaxed, PBE.

Properties
Total moment (Bohr magnetons per cell): 0.00
Energy of formation from the pure elements (eV/atom): 0.0908
E above lowest polymorph (meV/atom): 0

a b c (Å): 10.201 10.201 6.210
angles (deg): 95.99 95.99 71.35
Atoms (fractional coordinates):
Pr (0.127, 0.873, 0.750)
Pr (0.192, 0.478, 0.912)
Pr (0.478, 0.192, 0.412)
Pr (0.522, 0.808, 0.588)
Pr (0.808, 0.522, 0.088)
Pr (0.873, 0.127, 0.250)
Sm (0.019, 0.761, 0.207)
Sm (0.239, 0.981, 0.293)
Sm (0.761, 0.019, 0.707)
Sm (0.981, 0.239, 0.793)
Y (0.112, 0.343, 0.366)
Y (0.324, 0.559, 0.464)
Y (0.343, 0.112, 0.866)
Y (0.441, 0.676, 0.036)
Y (0.559, 0.324, 0.964)
Y (0.657, 0.888, 0.134)
Y (0.676, 0.441, 0.536)
Y (0.888, 0.657, 0.634)

=====

Na2NpAsO6: relaxed, PBE.

Properties
Total moment (Bohr magnetons per cell): 2.00
Raw formation energy (meV/atom): -1953

a b c (Å): 5.548 5.548 4.317
angles (deg): 90.00 90.00 90.00
Atoms (fractional coordinates):
Na (0.000, 0.500, 0.000)
Na (0.500, 0.000, 0.000)
Np (0.000, 0.000, 0.563)
As (0.500, 0.500, 0.496)
O (0.000, 0.000, 0.068)
O (0.267, 0.267, 0.582)
O (0.267, 0.733, 0.582)
O (0.500, 0.500, 0.101)
O (0.733, 0.267, 0.582)
O (0.733, 0.733, 0.582)

=====

SrLi2Nd2Ga2: relaxed, PBE.

Properties
Total moment (Bohr magnetons per cell): 0.00
Energy of formation from the pure elements (eV/atom): -0.2578

a b c (Å): 9.878 9.878 9.878
angles (deg): 28.04 28.04 28.04
Atoms (fractional coordinates):
Sr (0.000, 0.000, 0.000)
Li (0.406, 0.406, 0.406)
Li (0.594, 0.594, 0.594)
Nd (0.129, 0.129, 0.129)
Nd (0.871, 0.871, 0.871)
Ga (0.252, 0.252, 0.252)
Ga (0.748, 0.748, 0.748)

=====

Ac4Ir2SCl: relaxed, PBE.

Properties
Total moment (Bohr magnetons per cell): 0.00
Raw formation energy (meV/atom): -1286

a b c (Å): 7.448 4.305 8.054
angles (deg): 90.00 107.89 90.00
Atoms (fractional coordinates):
Ac (0.233, 0.000, 0.215)
Ac (0.253, 0.500, 0.778)
Ac (0.747, 0.500, 0.222)
Ac (0.767, 0.000, 0.785)
Ir (0.000, 0.500, 0.000)
Ir (0.500, 0.000, 0.000)
S (0.000, 0.000, 0.500)
Cl (0.500, 0.500, 0.500)

=====

NaOs3C: relaxed, PBE.

Properties
Total moment (Bohr magnetons per cell): 0.00
Energy of formation from the pure elements (eV/atom): 0.8415
E above lowest polymorph (meV/atom): 0

a b c (Å): 4.104 4.104 4.104
angles (deg): 90.00 90.00 90.00
Atoms (fractional coordinates):
Na (0.000, 0.000, 0.000)
Os (0.000, 0.500, 0.500)
Os (0.500, 0.000, 0.500)
Os (0.500, 0.500, 0.000)
C (0.500, 0.500, 0.500)

=====

TaAg3Ge: relaxed, PBE.

Properties
Total moment (Bohr magnetons per cell): 0.00
Energy of formation from the pure elements (eV/atom): 1.5783
E above lowest polymorph (meV/atom): 400

a b c (Å): 5.133 5.133 5.133
angles (deg): 90.00 90.00 90.00
Atoms (fractional coordinates):
Ta (0.000, 0.000, 0.000)
Ag (0.000, 0.000, 0.500)
Ag (0.000, 0.500, 0.000)
Ag (0.500, 0.000, 0.000)
Ge (0.500, 0.500, 0.500)

=====

PBr: relaxed, PBE.

Properties
Total moment (Bohr magnetons per cell): 0.00
Raw formation energy (meV/atom): 1005
E above lowest polymorph (meV/atom): 1135

a b c (Å): 4.324 4.324 9.810
angles (deg): 90.00 90.00 120.00
Atoms (fractional coordinates):
P (0.333, 0.667, 0.000)
P (0.667, 0.333, 0.500)
Br (0.333, 0.667, 0.435)
Br (0.667, 0.333, 0.935)

=====

CsRbTiPt2: relaxed, PBE.

Properties
Total moment (Bohr magnetons per cell): 1.44
Energy of formation from the pure elements (eV/atom): 0.3191

a b c (Å): 5.005 5.005 5.960
angles (deg): 90.00 90.00 90.00
Atoms (fractional coordinates):
Cs (0.000, 0.000, 0.000)
Rb (0.500, 0.500, 0.000)
Ti (0.500, 0.500, 0.500)
Pt (0.000, 0.500, 0.500)
Pt (0.500, 0.000, 0.500)

=====

MgAgIO2: relaxed, PBE.

Properties
Total moment (Bohr magnetons per cell): 0.68
Raw formation energy (meV/atom): 126
E above lowest polymorph (meV/atom): 532

a b c (Å): 4.190 4.190 5.602
angles (deg): 90.00 90.00 90.00
Atoms (fractional coordinates):
Mg (0.000, 0.000, 0.000)
Ag (0.500, 0.500, 0.500)
I (0.500, 0.500, 0.000)
O (0.000, 0.500, 0.500)
O (0.500, 0.000, 0.500)

=====

MgTcP2: relaxed, PBE.

Properties
Total moment (Bohr magnetons per cell): 0.00
Energy of formation from the pure elements (eV/atom): -0.2630

a b c (Å): 4.160 4.160 5.185
angles (deg): 99.92 99.92 44.88
Atoms (fractional coordinates):
Mg (0.000, 0.000, 0.000)
Tc (0.500, 0.500, 0.500)
P (0.232, 0.232, 0.693)
P (0.768, 0.768, 0.307)

=====

K2PtF2: relaxed, PBE.

Properties
Total moment (Bohr magnetons per cell): 0.17
Raw formation energy (meV/atom): -1615
E above lowest polymorph (meV/atom): 0

a b c (Å): 5.789 5.789 5.789
angles (deg): 124.07 124.07 83.09
Atoms (fractional coordinates):
K (0.250, 0.750, 0.500)
K (0.750, 0.250, 0.500)
Pt (0.000, 0.000, 0.000)
F (0.235, 0.235, 0.000)
F (0.765, 0.765, 0.000)

=====

LaZr2Tc2: relaxed, PBE.

Properties
Total moment (Bohr magnetons per cell): 0.00
Energy of formation from the pure elements (eV/atom): -0.0161
E above lowest polymorph (meV/atom): 19

a b c (Å): 7.979 7.979 3.330
angles (deg): 90.00 90.00 90.00
Atoms (fractional coordinates):
La (0.000, 0.000, 0.000)
La (0.500, 0.500, 0.000)
Zr (0.141, 0.359, 0.500)
Zr (0.359, 0.859, 0.500)
Zr (0.641, 0.141, 0.500)
Zr (0.859, 0.641, 0.500)
Tc (0.148, 0.648, 0.000)
Tc (0.352, 0.148, 0.000)
Tc (0.648, 0.852, 0.000)
Tc (0.852, 0.352, 0.000)